A plane-wave DFT calculation with GGA-PBEsol was carried out for a relaxed structure of SrNiRh.

Values from the calculation:
- mass density (g cm⁻³) = 6.88
- formation energy from the elements (eV/atom) = 0.502
- crystal system = cubic
- energy (eV per atom) = -4.877

a b c (Å): 4.397 4.397 4.397
angles (deg): 60.00 60.00 60.00
Fractional coordinates of all 3 atoms:
Sr (0.000, 0.000, 0.000)
Ni (0.750, 0.750, 0.750)
Rh (0.500, 0.500, 0.500)

A plane-wave DFT calculation with GGA-PBEsol was carried out for a relaxed structure of SrTlNi2Rh.

Values from the calculation:
- mass density (g cm⁻³) = 7.68
- formation energy from the elements (eV/atom) = 0.443
- crystal system = tetragonal
- energy (eV per atom) = -4.541

a b c (Å): 4.698 4.698 5.018
angles (deg): 90.00 90.00 90.00
Fractional coordinates of all 5 atoms:
Sr (0.000, 0.000, 0.000)
Tl (0.500, 0.500, 0.000)
Ni (0.000, 0.500, 0.500)
Ni (0.500, 0.000, 0.500)
Rh (0.500, 0.500, 0.500)

A plane-wave DFT calculation with GGA-PBEsol was carried out for a relaxed structure of TaNi4Rh.

Values from the calculation:
- mass density (g cm⁻³) = 12.18
- formation energy from the elements (eV/atom) = -0.311
- crystal system = cubic
- energy (eV per atom) = -7.865

a b c (Å): 4.642 4.642 4.642
angles (deg): 60.00 60.00 60.00
Fractional coordinates of all 6 atoms:
Ta (0.000, 0.000, 0.000)
Ni (0.376, 0.376, 0.376)
Ni (0.376, 0.376, 0.873)
Ni (0.376, 0.873, 0.376)
Ni (0.873, 0.376, 0.376)
Rh (0.750, 0.750, 0.750)

A plane-wave DFT calculation with GGA-PBEsol was carried out for a relaxed structure of TaNiRh3.

Values from the calculation:
- mass density (g cm⁻³) = 11.33
- formation energy from the elements (eV/atom) = 0.992
- crystal system = cubic
- energy (eV per atom) = -7.632

a b c (Å): 4.315 4.315 4.315
angles (deg): 90.00 90.00 90.00
Fractional coordinates of all 5 atoms:
Ta (0.000, 0.000, 0.000)
Ni (0.500, 0.500, 0.500)
Rh (0.000, 0.500, 0.500)
Rh (0.500, 0.000, 0.500)
Rh (0.500, 0.500, 0.000)

A plane-wave DFT calculation with GGA-PBEsol was carried out for a relaxed structure of TcNiRh2.

Values from the calculation:
- mass density (g cm⁻³) = 11.72
- formation energy from the elements (eV/atom) = -0.001
- offset from the most stable computed form (meV per atom) = 70
- crystal system = tetragonal
- energy (eV per atom) = -8.426

a b c (Å): 2.645 2.645 7.343
angles (deg): 90.00 90.00 90.00
Fractional coordinates of all 4 atoms:
Tc (0.000, 0.000, 0.000)
Ni (0.500, 0.500, 0.235)
Rh (0.000, 0.000, 0.477)
Rh (0.500, 0.500, 0.741)

A plane-wave DFT calculation with GGA-PBEsol was carried out for a relaxed structure of TcNiRh2.

Values from the calculation:
- mass density (g cm⁻³) = 11.72
- formation energy from the elements (eV/atom) = -0.049
- offset from the most stable computed form (meV per atom) = 22
- crystal system = tetragonal
- energy (eV per atom) = -8.474

a b c (Å): 4.540 4.540 4.540
angles (deg): 131.52 131.52 70.98
Fractional coordinates of all 4 atoms:
Tc (0.000, 0.000, 0.000)
Ni (0.500, 0.500, 0.000)
Rh (0.250, 0.750, 0.500)
Rh (0.750, 0.250, 0.500)

Repeat the third record exactly.
A plane-wave DFT calculation with GGA-PBEsol was carried out for a relaxed structure of TaNi4Rh.

Values from the calculation:
- mass density (g cm⁻³) = 12.18
- formation energy from the elements (eV/atom) = -0.311
- crystal system = cubic
- energy (eV per atom) = -7.865

a b c (Å): 4.642 4.642 4.642
angles (deg): 60.00 60.00 60.00
Fractional coordinates of all 6 atoms:
Ta (0.000, 0.000, 0.000)
Ni (0.376, 0.376, 0.376)
Ni (0.376, 0.376, 0.873)
Ni (0.376, 0.873, 0.376)
Ni (0.873, 0.376, 0.376)
Rh (0.750, 0.750, 0.750)

Which of these has the lowest formation energy from the elements? TaNi4Rh

Which formula does entry 4 have? TaNiRh3

What did the third record say?
A plane-wave DFT calculation with GGA-PBEsol was carried out for a relaxed structure of TaNi4Rh.

Values from the calculation:
- mass density (g cm⁻³) = 12.18
- formation energy from the elements (eV/atom) = -0.311
- crystal system = cubic
- energy (eV per atom) = -7.865

a b c (Å): 4.642 4.642 4.642
angles (deg): 60.00 60.00 60.00
Fractional coordinates of all 6 atoms:
Ta (0.000, 0.000, 0.000)
Ni (0.376, 0.376, 0.376)
Ni (0.376, 0.376, 0.873)
Ni (0.376, 0.873, 0.376)
Ni (0.873, 0.376, 0.376)
Rh (0.750, 0.750, 0.750)